# 1
VASP calculation (PBE-GGA) on a geometry-optimized Li2ZrSb structure.

Computed properties:
Energy relative to the elements, uncorrected, eV per atom: 0.040

Lattice parameters (Å, degrees): 10.2922 10.2922 10.2922 17.62 17.62 17.62
Last column: nearest neighbours and their distance in Å.
Atoms (fractional coordinates):
Li  0.2420  0.2420  0.2420  3 Sb 2.93, 6 Li 3.15
Li  0.7580  0.7580  0.7580  3 Sb 2.93, 6 Li 3.15
Zr  0.0000  0.0000  0.0000  6 Zr 3.15, 6 Li 3.32
Sb  0.5000  0.5000  0.5000  6 Li 2.93, 6 Sb 3.15

# 2
VASP calculation (PBE-GGA) on a geometry-optimized TcNi2Pt structure.

Computed properties:
Polymorph energy (0 for the lowest one), meV/atom: 30
E_form, eV/atom: -0.0503

Lattice parameters (Å, degrees): 2.6766 3.7746 5.1715 90.00 90.00 90.00
Last column: nearest neighbours and their distance in Å.
Atoms (fractional coordinates):
Tc  0.0000  0.0000  0.0000  6 Ni 2.45-2.72, 2 Tc 2.68, 4 Pt 2.69
Ni  0.0000  0.0000  0.4736  2 Tc 2.45-2.72, 6 Ni 2.61-2.68, 4 Pt 2.68
Ni  0.5000  0.5000  0.2391  2 Pt 2.57-2.60, 6 Ni 2.61-2.68, 4 Tc 2.62
Pt  0.5000  0.5000  0.7355  6 Ni 2.57-2.68, 2 Pt 2.68, 4 Tc 2.69

# 3
VASP calculation (PBE-GGA) on a geometry-optimized NaGa3Cu structure.

Computed properties:
Polymorph energy (0 for the lowest one), meV/atom: 142
E_form, eV/atom: 0.0774

Lattice parameters (Å, degrees): 4.7822 4.7822 4.7822 90.00 90.00 90.00
Last column: nearest neighbours and their distance in Å.
Atoms (fractional coordinates):
Na  0.0000  0.0000  0.0000  12 Ga 3.38
Ga  0.0000  0.5000  0.5000  2 Cu 2.39
Ga  0.5000  0.0000  0.5000  2 Cu 2.39
Ga  0.5000  0.5000  0.0000  2 Cu 2.39
Cu  0.5000  0.5000  0.5000  6 Ga 2.39

# 4
VASP calculation (PBE-GGA) on a geometry-optimized BeIn2Mo structure.

Computed properties:
E_form, eV/atom: 0.4085

Lattice parameters (Å, degrees): 2.8894 2.8894 8.8843 90.00 90.00 90.00
Last column: nearest neighbours and their distance in Å.
Atoms (fractional coordinates):
Be  0.0000  0.0000  0.0000  4 Mo 2.56, 4 In 2.86
In  0.0000  0.0000  0.5710  4 In 2.89, 4 Mo 3.05
In  0.5000  0.5000  0.2254  4 Be 2.86, 4 In 2.89
Mo  0.5000  0.5000  0.8257  4 Be 2.56

no.,magnetic moment (μB per atom)
1,0.07
2,0.00
3,0.00
4,0.00